Entry 1:
The following is a GGA-PBEsol calculation of a relaxed structure of Cu2RhAu, from Alexandria via LeMat-Bulk.

Lattice parameters (Å, degrees): 5.581 6.990 2.733 90.00 90.00 90.00
Space group Cmmm (No. 65)
Unique sites:
1 Cu 0.250 0.250 0.000 x4
2 Rh 0.000 0.000 0.500 x2
3 Au 0.000 0.500 0.500 x2

Summary:
E (eV/atom): -5.120
ΔH_f (0 K) (eV/atom): 0.06

=====

Entry 2:
The following is a GGA-PBEsol calculation of a relaxed structure of CrRu2Au, from Alexandria via LeMat-Bulk.

Lattice parameters (Å, degrees): 2.6940 2.6940 26.3517 90.00 90.00 120.00
Space group R-3m (No. 166, hexagonal axes)
Unique sites:
1 Cr 0.0000 0.0000 0.0000 x3
2 Ru 0.0000 0.0000 0.2589 x6
3 Au 0.0000 0.0000 0.5000 x3

Summary:
E (eV/atom): -8.433
Energy relative to the lowest polymorph listed for this composition (eV per atom): 0.000
ΔH_f (0 K) (eV/atom): 0.19

=====

Entry 3:
The following is a GGA-PBEsol calculation of a relaxed structure of LiZrZnSn2, from Alexandria via LeMat-Bulk.

Lattice parameters (Å, degrees): 5.020 5.020 5.020 90.00 90.00 90.00
Space group P4/mmm (No. 123)
Unique sites:
1 Li 0.000 0.000 0.000 x1
2 Zr 0.500 0.500 0.000 x1
3 Zn 0.500 0.500 0.500 x1
4 Sn 0.000 0.500 0.500 x2

Summary:
E (eV/atom): -3.803
ΔH_f (0 K) (eV/atom): 0.43

=====

Entry 4:
The following is a GGA-PBEsol calculation of a relaxed structure of CoHgSe, from Alexandria via LeMat-Bulk.

Lattice parameters (Å, degrees): 6.179 6.179 6.179 90.00 90.00 90.00
Space group F-43m (No. 216)
Unique sites:
1 Co 0.000 0.000 0.000 x4
2 Hg 0.000 0.000 0.500 x4
3 Se 0.250 0.250 0.250 x4

Summary:
E (eV/atom): -3.397
Energy relative to the lowest polymorph listed for this composition (eV per atom): 0.587
Raw formation energy (eV per atom): 0.654

=====

Entry 5:
The following is a GGA-PBEsol calculation of a relaxed structure of ZrCu2Ir, from Alexandria via LeMat-Bulk.

Lattice parameters (Å, degrees): 2.987 3.592 5.475 90.00 90.00 90.00
Space group Pmm2 (No. 25)
Unique sites:
1 Zr 0.000 0.000 0.000 x1
2 Cu 0.000 0.000 0.509 x1
3 Cu 0.500 0.500 0.713 x1
4 Ir 0.500 0.500 0.251 x1

Summary:
E (eV/atom): -7.146
Energy relative to the lowest polymorph listed for this composition (eV per atom): 0.153
ΔH_f (0 K) (eV/atom): -0.25

=====

Entry 6:
The following is a GGA-PBEsol calculation of a relaxed structure of KTeSCl2, from Alexandria via LeMat-Bulk.

Lattice parameters (Å, degrees): 5.395 5.395 5.092 90.00 90.00 90.00
Space group P4/mmm (No. 123)
Unique sites:
1 K 0.000 0.000 0.000 x1
2 Te 0.500 0.500 0.500 x1
3 S 0.500 0.500 0.000 x1
4 Cl 0.000 0.500 0.500 x2

Summary:
E (eV/atom): -3.342
Raw formation energy (eV per atom): -0.730

=====

Entry 7:
The following is a GGA-PBEsol calculation of a relaxed structure of Na2AlBi2, from Alexandria via LeMat-Bulk.

Lattice parameters (Å, degrees): 9.100 9.100 3.263 90.00 90.00 90.00
Space group P4/mbm (No. 127)
Unique sites:
1 Na 0.120 0.380 0.000 x4
2 Al 0.000 0.000 0.500 x2
3 Bi 0.180 0.680 0.500 x4

Summary:
E (eV/atom): -3.071
ΔH_f (0 K) (eV/atom): 0.02

=====

Entry 8:
The following is a GGA-PBEsol calculation of a relaxed structure of CdGaF2, from Alexandria via LeMat-Bulk.

Lattice parameters (Å, degrees): 6.185 6.185 6.185 90.00 90.00 90.00
Space group Fm-3m (No. 225)
Unique sites:
1 Cd 0.000 0.000 0.000 x4
2 Ga 0.000 0.000 0.500 x4
3 F 0.250 0.250 0.250 x8

Summary:
E (eV/atom): -3.257
Raw formation energy (eV per atom): -1.159

=====

Entry 9:
The following is a GGA-PBEsol calculation of a relaxed structure of ZrBe3, from Alexandria via LeMat-Bulk.

Lattice parameters (Å, degrees): 2.466 3.551 5.502 90.00 102.49 90.00
Space group P2/m (No. 10)
Unique sites:
1 Zr 0.000 0.000 0.000 x1
2 Be 0.290 0.500 0.680 x2
3 Be 0.500 0.000 0.500 x1

Summary:
E (eV/atom): -5.170
Energy relative to the lowest polymorph listed for this composition (eV per atom): 0.266
ΔH_f (0 K) (eV/atom): 0.10

=====

Entry 10:
The following is a GGA-PBEsol calculation of a relaxed structure of BaLiRh, from Alexandria via LeMat-Bulk.

Lattice parameters (Å, degrees): 6.525 6.525 6.525 90.00 90.00 90.00
Space group F-43m (No. 216)
Unique sites:
1 Ba 0.000 0.000 0.000 x4
2 Li 0.250 0.250 0.750 x4
3 Rh 0.000 0.000 0.500 x4

Summary:
E (eV/atom): -3.800
Energy relative to the lowest polymorph listed for this composition (eV per atom): 0.228
ΔH_f (0 K) (eV/atom): 0.28

=====

Entry 11:
The following is a GGA-PBEsol calculation of a relaxed structure of SrYMg2, from Alexandria via LeMat-Bulk.

Lattice parameters (Å, degrees): 7.866 7.866 7.866 90.00 90.00 90.00
Space group Fm-3m (No. 225)
Unique sites:
1 Sr 0.000 0.000 0.000 x4
2 Y 0.000 0.000 0.500 x4
3 Mg 0.250 0.250 0.250 x8

Summary:
E (eV/atom): -3.034
Energy relative to the lowest polymorph listed for this composition (eV per atom): 0.018
ΔH_f (0 K) (eV/atom): -0.01

=====

Entry 12:
The following is a GGA-PBEsol calculation of a relaxed structure of Ba2PAu, from Alexandria via LeMat-Bulk.

Lattice parameters (Å, degrees): 4.6460 4.6460 22.5999 90.00 90.00 120.00
Space group R-3m (No. 166, hexagonal axes)
Unique sites:
1 Ba 0.0000 0.0000 0.2411 x6
2 P 0.0000 0.0000 0.5000 x3
3 Au 0.0000 0.0000 0.0000 x3

Summary:
E (eV/atom): -4.283
ΔH_f (0 K) (eV/atom): -0.78

=====

Table of M_tot (μB per formula unit), in record order: 0.000; 0.002; 0.001; 1.584; 0.000; 0.000; 0.000; 0.001; 0.000; 0.000; 0.001; 0.000